[1]
VASP calculation (PBE) on an optimized crystal structure of Mg2AgHg4.

Summary:
Volume: 161.7 Å³/f.u.
Space group: C2/m
ΔE to the lowest computed polymorph: 0.000 eV per atom
Density of states at the Fermi level: 0.272 states/eV/atom
E_form: -0.060 eV/atom

abc: 3.595 6.935 7.493
angles: 116.06 103.88 90.00
Positions (direct):
Mg1 0.777 0.819 0.554
Mg2 0.223 0.181 0.446
Hg1 0.382 0.637 0.763
Hg2 0.902 0.284 0.803
Hg3 0.098 0.716 0.197
Ag1 0.000 0.000 0.000
Hg4 0.618 0.363 0.237

[2]
VASP calculation (PBE) on an optimized crystal structure of Mg2AgHg.

Summary:
Volume: 79.1 Å³/f.u.
Space group: P4/mmm
Density of states at the Fermi level: 0.331 states/eV/atom
E_form: -0.228 eV/atom

abc: 3.323 3.323 7.162
angles: 90.00 90.00 90.00
Positions (direct):
Ag1 0.500 0.500 0.000
Hg1 0.500 0.500 0.500
Mg1 0.000 0.000 0.765
Mg2 0.000 0.000 0.235

[3]
VASP calculation (PBE) on an optimized crystal structure of Mg7Ag2Hg2.

Summary:
Volume: 261.1 Å³/f.u.
Space group: C2/m
Density of states at the Fermi level: 0.400 states/eV/atom
E_form: -0.041 eV/atom

abc: 6.211 7.135 6.211
angles: 90.07 108.43 89.93
Positions (direct):
Mg1 0.500 0.231 0.500
Hg1 0.201 0.500 0.201
Mg2 0.499 0.714 0.000
Hg2 0.799 0.500 0.799
Ag1 0.278 0.000 0.722
Mg3 0.501 0.286 0.000
Mg4 0.500 0.769 0.500
Mg5 0.000 0.000 0.000
Mg6 0.000 0.714 0.501
Ag2 0.722 0.000 0.278
Mg7 0.000 0.286 0.499

[4]
VASP calculation (PBE) on an optimized crystal structure of NaMgAgHg.

Summary:
Volume: 88.3 Å³/f.u.
Space group: P4mm
ΔE to the lowest computed polymorph: 0.000 eV per atom
Density of states at the Fermi level: 0.189 states/eV/atom
E_form: -0.172 eV/atom

abc: 3.461 3.461 7.374
angles: 90.00 90.00 90.00
Positions (direct):
Ag1 0.500 0.500 0.356
Mg1 0.000 0.000 0.554
Na1 0.000 0.000 0.079
Hg1 0.500 0.500 0.796

[5]
VASP calculation (PBE) on an optimized crystal structure of NaMgAgHg.

Summary:
Volume: 85.9 Å³/f.u.
Space group: F-43m
ΔE to the lowest computed polymorph: 0.050 eV per atom
Density of states at the Fermi level: 0.768 states/eV/atom
E_form: -0.122 eV/atom

abc: 4.952 4.952 4.952
angles: 60.00 60.00 60.00
Positions (direct):
Hg1 0.750 0.750 0.750
Mg1 0.000 0.000 0.000
Na1 0.500 0.500 0.500
Ag1 0.250 0.250 0.250

[6]
VASP calculation (PBE) on an optimized crystal structure of Nd4MgAgHg2.

Summary:
Volume: 223.8 Å³/f.u.
Space group: R-3m
Density of states at the Fermi level: 1.030 states/eV/atom
E_form: -0.332 eV/atom

abc: 5.404 5.404 9.384
angles: 73.27 73.27 60.00
Site moments in Bohr magnetons follow the coordinates.
Positions (direct):
Hg1 0.258 0.258 0.225  0.00
Nd1 0.380 0.380 0.859  0.04
Hg2 0.742 0.742 0.775  0.00
Mg1 0.000 0.000 0.000  0.00
Ag1 0.500 0.500 0.500  0.01
Nd2 0.871 0.871 0.387  0.11
Nd3 0.620 0.620 0.141  0.04
Nd4 0.129 0.129 0.613  0.11

[7]
VASP calculation (PBE) on an optimized crystal structure of NdMg2AgHg4.

Summary:
Volume: 183.7 Å³/f.u.
Space group: R-3m
Density of states at the Fermi level: 0.380 states/eV/atom
E_form: -0.261 eV/atom

abc: 4.856 4.856 9.422
angles: 75.07 75.07 60.00
Positions (direct):
Hg1 0.125 0.125 0.625
Mg1 0.759 0.759 0.723
Hg2 0.613 0.613 0.160
Hg3 0.875 0.875 0.375
Mg2 0.241 0.241 0.277
Nd1 0.000 0.000 0.000
Ag1 0.500 0.500 0.500
Hg4 0.387 0.387 0.840

[8]
VASP calculation (PBE) on an optimized crystal structure of Mg2AgHgP.

Summary:
Volume: 117.6 Å³/f.u.
Space group: P4/mmm
Density of states at the Fermi level: 0.417 states/eV/atom
E_form: -0.046 eV/atom

abc: 4.912 4.912 4.874
angles: 90.00 90.00 90.00
Positions (direct):
Mg1 0.500 0.000 0.000
Hg1 0.500 0.500 0.500
Mg2 0.000 0.500 0.000
Ag1 0.000 0.000 0.500
P1 0.000 0.000 0.000